No. 1
## FeF3 (PBE+U)

Data for a relaxed FeF3 crystal.

Unit cell a=3.2227 b=3.2227 c=18.9507 alpha=90.00 beta=90.00 gamma=120.00
With the nearest neighbours (Å) after each atom.
Space group R-3m (No. 166, hexagonal axes)
Inequivalent atoms, fractional coordinates:
Fe (0.0000, 0.0000, 0.0000)  6 F 2.08
F (0.0000, 0.0000, 0.3819)  3 Fe 2.08, 1 F 2.24
F (0.0000, 0.0000, 0.5000)  2 F 2.24

Total energy: -3.84 eV per atom

No. 2
## Fe3F8 (PBE+U)

Data for a relaxed Fe3F8 crystal.

Unit cell a=7.5371 b=7.5371 c=8.5129 alpha=90.00 beta=90.00 gamma=120.00
With the nearest neighbours (Å) after each atom.
Space group R-3 (No. 148, hexagonal axes)
Inequivalent atoms, fractional coordinates:
Fe (0.0000, 0.5000, 0.0000)  4 F 1.94-1.98
F (0.0000, 0.0000, 0.3328)  3 Fe 2.18
F (0.0280, 0.6342, 0.7944)  2 Fe 1.94-1.98

Total energy: -5.24 eV per atom

No. 3
## FeF3 (PBE+U)

Data for a relaxed FeF3 crystal.

Unit cell a=2.7805 b=7.6487 c=4.8861 alpha=90.00 beta=90.00 gamma=90.00
With the nearest neighbours (Å) after each atom.
Space group Imm2 (No. 44)
Inequivalent atoms, fractional coordinates:
Fe (0.0000, 0.0000, 0.0000)  6 F 1.98-2.00
F (0.0000, 0.3389, 0.6510)  2 Fe 2.00
F (0.0000, 0.5000, 0.2110)  2 Fe 1.98

Total energy: -5.06 eV per atom

No. 4
## FeF3 (PBE+U)

Data for a relaxed FeF3 crystal.

Unit cell a=4.3204 b=4.3204 c=11.9446 alpha=90.00 beta=90.00 gamma=90.00
With the nearest neighbours (Å) after each atom.
Space group I-42d (No. 122)
Inequivalent atoms, fractional coordinates:
Fe (0.0000, 0.0000, 0.0000)  4 F 1.90
F (0.0000, 0.0000, 0.5000)  4 F 2.50
F (0.1088, 0.2500, 0.1250)  2 Fe 1.90

Total energy: -4.41 eV per atom